Computed, not measured: a crystal of ScAl2Ir relaxed with PBEsol at the meta-GGA SCAN level of DFT.

The structure in extended XYZ format:
```
4
Lattice="2.984 0.000 0.000 -1.492 4.335 0.006 0.000 -0.871 5.012" Properties=species:S:1:pos:R:3 pbc="T T T"
Sc 1.492 0.000 0.000
Ir 0.000 -0.435 2.506
Al 1.492 1.432 3.556
Al 0.000 2.033 1.462
```

Results
E_tot in eV/cell: -103.71
M_tot in μB per cell: 0.00
Space group: C2/m, No. 12
Formation energy from the elements in eV per atom: -0.719